1.
# Mg3CuNi | Alexandria via LeMat-Bulk | PBE | relaxed
data_Mg3CuNi
_chemical_formula_sum 'Mg3 Cu1 Ni1'
_cell_length_a 4.724
_cell_length_b 4.724
_cell_length_c 4.724
_cell_angle_alpha 90.00
_cell_angle_beta 90.00
_cell_angle_gamma 90.00
_space_group_name_H-M_alt 'P m -3 m'
_space_group_IT_number 221
_space_group_name_Hall '-P 4 2 3'
loop_
_atom_site_label
_atom_site_type_symbol
_atom_site_fract_x
_atom_site_fract_y
_atom_site_fract_z
Mg1 Mg 0.000 0.000 0.500
Cu1 Cu 0.500 0.500 0.500
Ni1 Ni 0.000 0.000 0.000
# * distance to the lowest polymorph of the same formula: 0 meV/atom


2.
# MgCuNi | Alexandria via LeMat-Bulk | PBE | relaxed
data_MgCuNi
_chemical_formula_sum 'Mg2 Cu2 Ni2'
_cell_length_a 4.313
_cell_length_b 4.413
_cell_length_c 5.099
_cell_angle_alpha 98.74
_cell_angle_beta 90.57
_cell_angle_gamma 119.01
_space_group_name_H-M_alt 'P -1'
_space_group_IT_number 2
loop_
_space_group_symop_operation_xyz
'x,y,z'
'-x,-y,-z'
loop_
_atom_site_label
_atom_site_type_symbol
_atom_site_fract_x
_atom_site_fract_y
_atom_site_fract_z
Mg1 Mg 0.145 0.291 0.349
Cu1 Cu 0.466 0.931 0.238
Ni1 Ni 0.211 0.422 0.872
# * distance to the lowest polymorph of the same formula: 158 meV/atom


3.
# MgCu2Ni | Alexandria via LeMat-Bulk | PBE | relaxed
data_MgCu2Ni
_chemical_formula_sum 'Mg4 Cu8 Ni4'
_cell_length_a 3.547
_cell_length_b 3.547
_cell_length_c 17.880
_cell_angle_alpha 90.00
_cell_angle_beta 90.00
_cell_angle_gamma 90.00
_space_group_name_H-M_alt 'I -4 2 d'
_space_group_IT_number 122
_space_group_name_Hall 'I -4 2bw'
loop_
_atom_site_label
_atom_site_type_symbol
_atom_site_fract_x
_atom_site_fract_y
_atom_site_fract_z
Mg1 Mg 0.000 0.000 0.000
Cu1 Cu 0.235 0.250 0.625
Ni1 Ni 0.000 0.000 0.500
# * total DFT energy (no corrections): -3.68 eV/atom


4.
# MgCu2Ni2 | Alexandria via LeMat-Bulk | PBE | relaxed
data_MgCu2Ni2
_chemical_formula_sum 'Mg4 Cu8 Ni8'
_cell_length_a 3.452
_cell_length_b 3.452
_cell_length_c 23.177
_cell_angle_alpha 90.00
_cell_angle_beta 90.00
_cell_angle_gamma 90.00
_space_group_name_H-M_alt 'I 4/m m m'
_space_group_IT_number 139
_space_group_name_Hall '-I 4 2'
loop_
_atom_site_label
_atom_site_type_symbol
_atom_site_fract_x
_atom_site_fract_y
_atom_site_fract_z
Mg1 Mg 0.000 0.000 0.122
Cu1 Cu 0.000 0.000 0.324
Cu2 Cu 0.000 0.500 0.000
Ni1 Ni 0.000 0.000 0.426
Ni2 Ni 0.000 0.500 0.250
# * distance to the lowest polymorph of the same formula: 106 meV/atom


5.
# MgCuNi | Alexandria via LeMat-Bulk | PBE | relaxed
data_MgCuNi
_chemical_formula_sum 'Mg1 Cu1 Ni1'
_cell_length_a 4.1841
_cell_length_b 4.1841
_cell_length_c 2.6882
_cell_angle_alpha 90.00
_cell_angle_beta 90.00
_cell_angle_gamma 120.00
_space_group_name_H-M_alt 'P 3 m 1'
_space_group_IT_number 156
loop_
_space_group_symop_operation_xyz
'x,y,z'
'-y,x-y,z'
'-x+y,-x,z'
'-y,-x,z'
'-x+y,y,z'
'x,x-y,z'
loop_
_atom_site_label
_atom_site_type_symbol
_atom_site_fract_x
_atom_site_fract_y
_atom_site_fract_z
Mg1 Mg 0.0000 0.0000 0.0000
Cu1 Cu 0.3333 0.6667 0.5892
Ni1 Ni 0.6667 0.3333 0.4140
# * distance to the lowest polymorph of the same formula: 146 meV/atom


6.
# MgCuNi6 | Alexandria via LeMat-Bulk | PBE | relaxed
data_MgCuNi6
_chemical_formula_sum 'Mg8 Cu8 Ni48'
_cell_length_a 7.144
_cell_length_b 10.193
_cell_length_c 10.188
_cell_angle_alpha 90.00
_cell_angle_beta 90.00
_cell_angle_gamma 90.00
_space_group_name_H-M_alt 'C m m m'
_space_group_IT_number 65
_space_group_name_Hall '-C 2 2'
loop_
_atom_site_label
_atom_site_type_symbol
_atom_site_fract_x
_atom_site_fract_y
_atom_site_fract_z
Mg1 Mg 0.000 0.000 0.249
Mg2 Mg 0.000 0.245 0.500
Cu1 Cu 0.000 0.245 0.000
Cu2 Cu 0.000 0.500 0.248
Ni1 Ni 0.000 0.000 0.000
Ni2 Ni 0.000 0.000 0.500
Ni3 Ni 0.000 0.252 0.245
Ni4 Ni 0.000 0.500 0.000
Ni5 Ni 0.000 0.500 0.500
Ni6 Ni 0.243 0.377 0.372
Ni7 Ni 0.245 0.374 0.122
# * total DFT energy (no corrections): -5.06 eV/atom


7.
# Mg2CuNi | Alexandria via LeMat-Bulk | PBE | relaxed
data_Mg2CuNi
_chemical_formula_sum 'Mg4 Cu2 Ni2'
_cell_length_a 3.071
_cell_length_b 4.345
_cell_length_c 9.048
_cell_angle_alpha 90.00
_cell_angle_beta 90.00
_cell_angle_gamma 90.00
_space_group_name_H-M_alt 'I m m 2'
_space_group_IT_number 44
loop_
_space_group_symop_operation_xyz
'x,y,z'
'-x,-y,z'
'-x,y,z'
'x,-y,z'
'x+1/2,y+1/2,z+1/2'
'-x+1/2,-y+1/2,z+1/2'
'-x+1/2,y+1/2,z+1/2'
'x+1/2,-y+1/2,z+1/2'
loop_
_atom_site_label
_atom_site_type_symbol
_atom_site_fract_x
_atom_site_fract_y
_atom_site_fract_z
Mg1 Mg 0.000 0.000 0.000
Mg2 Mg 0.000 0.500 0.217
Cu1 Cu 0.000 0.000 0.459
Ni1 Ni 0.000 0.500 0.745
# * total DFT energy (no corrections): -3.36 eV/atom


In order of appearance, M_tot = 0.00; 0.00; 0.00; 1.15; 0.00; 20.78; 0.00 μB/cell.